1.
Material: Na2AgH6Ir
Method: DFT, PBE
State: optimized geometry

Properties
The calculation puts the calculated total energy at -3.703 eV per atom. Its size of the total moment is 0.0 μB per formula unit.

a = 5.1631 Å, b = 5.1631 Å, c = 5.3997 Å
α = 90.00°, β = 90.00°, γ = 120.00°
Space group P-3m1 (No. 164)
Asymmetric unit:
Na1 0.3333 0.6667 0.1622 [2 per cell]
Ag1 0.0000 0.0000 0.5000 [1 per cell]
H1 0.1563 0.3125 0.8241 [6 per cell]
Ir1 0.0000 0.0000 0.0000 [1 per cell]

=====

2.
Material: Sr2RhO5
Method: DFT, PBE
State: optimized geometry

Properties
The value obtained for the energy relative to the lowest polymorph listed for this composition is 121 meV per atom. The calculation puts the calculated total energy at -6.015 eV per atom. The energy relative to the elements, uncorrected is -1.577 eV per atom. Its size of the total moment is 3.1 μB per formula unit.

a = 4.177 Å, b = 12.272 Å, c = 10.905 Å
α = 90.00°, β = 90.00°, γ = 90.00°
Space group Cmcm (No. 63)
Asymmetric unit:
Sr1 0.000 0.145 0.075 [8 per cell]
Rh1 0.000 0.161 0.750 [4 per cell]
O1 0.000 0.051 0.629 [8 per cell]
O2 0.000 0.270 0.615 [8 per cell]
O3 0.000 0.302 0.250 [4 per cell]

=====

3.
Material: Ti3As2P
Method: DFT, PBE
State: optimized geometry

Properties
The calculation puts the calculated total energy at -7.325 eV per atom. Its formation energy is -926.5 meV per atom. Its size of the total moment is 0.0 μB per formula unit.

a = 6.330 Å, b = 10.811 Å, c = 6.242 Å
α = 90.00°, β = 109.25°, γ = 90.00°
Space group C2/c (No. 15)
Asymmetric unit:
Ti1 0.215 0.075 0.490 [8 per cell]
Ti2 0.250 0.250 0.000 [4 per cell]
As1 0.000 0.261 0.250 [4 per cell]
As2 0.000 0.422 0.750 [4 per cell]
P1 0.000 0.092 0.750 [4 per cell]

=====

4.
Material: Bi2IrS2
Method: DFT, PBE
State: optimized geometry

Properties
The value obtained for the energy relative to the lowest polymorph listed for this composition is 18 meV per atom. The calculation puts the calculated total energy at -4.845 eV per atom. The energy relative to the elements, uncorrected is 0.131 eV per atom. Its size of the total moment is 0.0 μB per formula unit.

a = 5.602 Å, b = 5.602 Å, c = 7.629 Å
α = 90.00°, β = 90.00°, γ = 90.00°
Space group I4/mmm (No. 139)
Asymmetric unit:
Bi1 0.000 0.500 0.250 [4 per cell]
Ir1 0.000 0.000 0.000 [2 per cell]
S1 0.000 0.000 0.302 [4 per cell]

=====

- Look up the size of the total moment of the fourth one.
  0.0 μB per formula unit